Record 1
## CaZnSn (PBE-GGA)

Data for an optimized crystal structure of CaZnSn.

Cell: 4.3141 5.9403 6.2612 Å, 90.00 90.00 68.71°
Last column: nearest neighbours and their distance in Å.
Atoms (fractional coordinates):
Ca 0.4262 0.2984 0.7852  5 Zn 3.06-3.37
Ca 0.8159 0.5192 0.2853  5 Zn 3.06-3.37
Zn 0.7309 0.6895 0.7853  4 Sn 2.93, 4 Ca 3.06-3.27
Zn 0.5112 0.1281 0.2852  4 Sn 2.93, 4 Ca 3.06-3.27
Sn 0.1211 0.9088 0.5353  4 Zn 2.93, 2 Sn 3.13
Sn 0.1211 0.9088 0.0352  4 Zn 2.93, 2 Sn 3.13

Summary:
The value obtained for the total energy is -2.80 eV/atom.

=====

Record 2
## CaZnSn2 (PBE-GGA)

Data for an optimized crystal structure of CaZnSn2.

Cell: 4.5295 4.6296 4.6296 Å, 90.00 90.00 90.00°
Last column: nearest neighbours and their distance in Å.
Atoms (fractional coordinates):
Zn 0.5000 0.0000 0.0000  8 Sn 3.24, 4 Ca 3.27
Ca 0.5000 0.5000 0.5000  8 Sn 3.24, 4 Zn 3.27
Sn 0.0000 0.0000 0.5000  4 Zn 3.24, 4 Ca 3.24, 4 Sn 3.27
Sn 0.0000 0.5000 0.0000  4 Ca 3.24, 4 Zn 3.24, 4 Sn 3.27

Summary:
The value obtained for the total energy is -3.13 eV/atom.

=====

Record 3
## CaZnSn2 (PBE-GGA)

Data for an optimized crystal structure of CaZnSn2.

Cell: 5.0100 5.0100 10.0209 Å, 75.52 75.52 90.00°
Last column: nearest neighbours and their distance in Å.
Atoms (fractional coordinates):
Zn 0.0000 0.0000 0.0000  4 Sn 2.80
Zn 0.7500 0.2500 0.5000  4 Sn 2.80
Ca 0.5000 0.5000 0.0000  4 Sn 3.12
Ca 0.2500 0.7500 0.5000  4 Sn 3.12
Sn 0.7002 0.1250 0.2500  2 Zn 2.80, 2 Sn 3.06, 2 Ca 3.12
Sn 0.0498 0.6250 0.2500  2 Zn 2.80, 2 Sn 3.06, 2 Ca 3.12
Sn 0.3750 0.2998 0.7500  2 Zn 2.80, 2 Sn 3.06, 2 Ca 3.12
Sn 0.8750 0.9502 0.7500  2 Zn 2.80, 2 Sn 3.06, 2 Ca 3.12

Summary:
The value obtained for the total energy is -2.97 eV/atom.

=====

Record 4
## CaZnSn (PBE-GGA)

Data for an optimized crystal structure of CaZnSn.

Cell: 4.6543 4.6543 15.8403 Å, 90.00 90.00 120.00°
Last column: nearest neighbours and their distance in Å.
Atoms (fractional coordinates):
Zn 0.3333 0.6667 0.1071  3 Sn 2.70
Zn 0.6667 0.3333 0.6071  3 Sn 2.70
Zn 0.3333 0.6667 0.3929  3 Sn 2.70
Zn 0.6667 0.3333 0.8929  3 Sn 2.70
Ca 0.0000 0.0000 0.0000  6 Zn 3.18, 6 Sn 3.33
Ca 0.0000 0.0000 0.7500  6 Sn 3.35, 6 Zn 3.51
Ca 0.0000 0.0000 0.5000  6 Zn 3.18, 6 Sn 3.33
Ca 0.0000 0.0000 0.2500  6 Sn 3.35, 6 Zn 3.51
Sn 0.6667 0.3333 0.3759  3 Zn 2.70
Sn 0.3333 0.6667 0.8759  3 Zn 2.70
Sn 0.3333 0.6667 0.6241  3 Zn 2.70
Sn 0.6667 0.3333 0.1241  3 Zn 2.70

Summary:
The value obtained for the total energy is -2.88 eV/atom.

=====

Record 5
## Ca2ZnSn (PBE-GGA)

Data for an optimized crystal structure of Ca2ZnSn.

Cell: 3.7382 5.3654 5.3654 Å, 90.00 90.00 90.00°
Last column: nearest neighbours and their distance in Å.
Atoms (fractional coordinates):
Zn 0.5000 0.0000 0.0000  8 Ca 3.27
Ca 0.0000 0.0000 0.5000  4 Sn 3.27, 4 Zn 3.27
Ca 0.0000 0.5000 0.0000  4 Sn 3.27, 4 Zn 3.27
Sn 0.5000 0.5000 0.5000  8 Ca 3.27

Summary:
The value obtained for the total energy is -2.79 eV/atom.

=====

Record 6
## CaZnSn2 (PBE-GGA)

Data for an optimized crystal structure of CaZnSn2.

Cell: 3.7994 3.7994 6.9328 Å, 90.00 90.00 90.00°
Last column: nearest neighbours and their distance in Å.
Atoms (fractional coordinates):
Zn 0.5000 0.5000 0.0000  8 Sn 3.06
Ca 0.5000 0.5000 0.5000  8 Sn 3.35, 2 Zn 3.47
Sn 0.0000 0.0000 0.7886  1 Sn 2.93, 4 Zn 3.06
Sn 0.0000 0.0000 0.2114  1 Sn 2.93, 4 Zn 3.06

Summary:
The value obtained for the total energy is -3.08 eV/atom.

=====

Record 7
## Ca2ZnSn (PBE-GGA)

Data for an optimized crystal structure of Ca2ZnSn.

Cell: 7.1234 7.1234 7.1234 Å, 59.07 150.89 129.82°
Last column: nearest neighbours and their distance in Å.
Atoms (fractional coordinates):
Ca 0.0000 0.2360 0.2360  1 Zn 2.93, 1 Sn 3.27
Ca 0.0000 0.7640 0.7640  1 Zn 2.93, 1 Sn 3.27
Zn 0.0000 0.0000 0.0000  2 Ca 2.93
Sn 0.0000 0.5000 0.5000  2 Ca 3.27, 4 Zn 3.51, 2 Sn 3.58

Summary:
The value obtained for the total energy is -2.02 eV/atom.

=====

Record 8
## Ca2ZnSn (PBE-GGA)

Data for an optimized crystal structure of Ca2ZnSn.

Cell: 5.3405 5.3405 5.3405 Å, 60.00 60.00 60.00°
Last column: nearest neighbours and their distance in Å.
Atoms (fractional coordinates):
Zn 0.0000 0.0000 0.0000  8 Ca 3.27
Ca 0.2500 0.2500 0.2500  4 Sn 3.27, 4 Zn 3.27
Ca 0.7500 0.7500 0.7500  4 Zn 3.27, 4 Sn 3.27
Sn 0.5000 0.5000 0.5000  8 Ca 3.27

Summary:
The value obtained for the total energy is -2.83 eV/atom.

=====

Record 9
## Ca2ZnSn (PBE-GGA)

Data for an optimized crystal structure of Ca2ZnSn.

Cell: 4.9424 4.9424 10.9774 Å, 76.99 76.99 90.00°
Last column: nearest neighbours and their distance in Å.
Atoms (fractional coordinates):
Zn 0.5000 0.5000 0.0000  4 Ca 3.13, 4 Sn 3.49
Zn 0.2500 0.7500 0.5000  4 Ca 3.13, 4 Sn 3.49
Ca 0.6213 0.1250 0.2500  2 Zn 3.13, 2 Sn 3.14, 2 Ca 3.47
Ca 0.1287 0.6250 0.2500  2 Zn 3.13, 2 Sn 3.14, 2 Ca 3.47
Ca 0.3750 0.3787 0.7500  2 Zn 3.13, 2 Sn 3.14, 2 Ca 3.47
Ca 0.8750 0.8713 0.7500  2 Zn 3.13, 2 Sn 3.14, 2 Ca 3.47
Sn 0.0000 0.0000 0.0000  4 Ca 3.14, 4 Zn 3.49
Sn 0.7500 0.2500 0.5000  4 Ca 3.14, 4 Zn 3.49

Summary:
The value obtained for the total energy is -2.27 eV/atom.

=====

Record 10
## Ca3Zn8Sn (PBE-GGA)

Data for an optimized crystal structure of Ca3Zn8Sn.

Cell: 5.5509 5.5509 9.5440 Å, 73.09 73.09 60.00°
Last column: nearest neighbours and their distance in Å.
Atoms (fractional coordinates):
Ca 0.3753 0.3753 0.8740  12 Zn 3.21-3.26, 4 Ca 3.41-3.43
Ca 0.9968 0.9968 0.0096  12 Zn 3.19-3.30, 1 Sn 3.36, 3 Ca 3.43
Ca 0.5020 0.5020 0.4941  12 Zn 3.22-3.28, 3 Sn 3.36, 1 Ca 3.41
Zn 0.9383 0.4391 0.1835  6 Zn 2.71-2.78
Zn 0.4341 0.9391 0.6877  6 Zn 2.75-2.80
Zn 0.4391 0.4391 0.1835  6 Zn 2.71-2.78
Zn 0.9391 0.9391 0.6877  6 Zn 2.75-2.80
Zn 0.1881 0.1881 0.4357  6 Zn 2.77-2.78
Zn 0.6867 0.6867 0.9398  6 Zn 2.71-2.78
Zn 0.4391 0.9383 0.1835  6 Zn 2.71-2.78
Zn 0.9391 0.4341 0.6877  6 Zn 2.75-2.80
Sn 0.8723 0.8723 0.3830  12 Zn 3.18-3.30, 4 Ca 3.36

Summary:
The value obtained for the total energy is -1.91 eV/atom.

=====

Record 11
## Ca2Zn2Sn (PBE-GGA)

Data for an optimized crystal structure of Ca2Zn2Sn.

Cell: 3.6774 3.6774 9.9539 Å, 79.36 79.36 90.00°
Last column: nearest neighbours and their distance in Å.
Atoms (fractional coordinates):
Zn 0.7500 0.2500 0.5000  4 Zn 2.60
Zn 0.2500 0.7500 0.5000  4 Zn 2.60
Ca 0.3929 0.3929 0.2143  4 Zn 3.30, 4 Sn 3.32, 4 Ca 3.68
Ca 0.6071 0.6071 0.7857  4 Zn 3.30, 4 Sn 3.32, 4 Ca 3.68
Sn 0.0000 0.0000 0.0000  8 Ca 3.32, 4 Sn 3.68

Summary:
The value obtained for the total energy is -2.40 eV/atom.

=====

Record 12
## Ca2Zn2Sn (PBE-GGA)

Data for an optimized crystal structure of Ca2Zn2Sn.

Cell: 5.8739 5.8739 5.7525 Å, 59.30 59.30 90.00°
Last column: nearest neighbours and their distance in Å.
Atoms (fractional coordinates):
Zn 0.3517 0.3517 0.2966  1 Zn 2.36
Zn 0.6483 0.6483 0.7034  1 Zn 2.36
Ca 0.7500 0.2500 0.5000  4 Zn 3.05
Ca 0.2500 0.7500 0.5000  4 Zn 3.05
Sn 0.0000 0.0000 0.0000  2 Zn 2.80

Summary:
The value obtained for the total energy is -2.27 eV/atom.

=====

Repeat the fourth record exactly.
## CaZnSn (PBE-GGA)

Data for an optimized crystal structure of CaZnSn.

Cell: 4.6543 4.6543 15.8403 Å, 90.00 90.00 120.00°
Last column: nearest neighbours and their distance in Å.
Atoms (fractional coordinates):
Zn 0.3333 0.6667 0.1071  3 Sn 2.70
Zn 0.6667 0.3333 0.6071  3 Sn 2.70
Zn 0.3333 0.6667 0.3929  3 Sn 2.70
Zn 0.6667 0.3333 0.8929  3 Sn 2.70
Ca 0.0000 0.0000 0.0000  6 Zn 3.18, 6 Sn 3.33
Ca 0.0000 0.0000 0.7500  6 Sn 3.35, 6 Zn 3.51
Ca 0.0000 0.0000 0.5000  6 Zn 3.18, 6 Sn 3.33
Ca 0.0000 0.0000 0.2500  6 Sn 3.35, 6 Zn 3.51
Sn 0.6667 0.3333 0.3759  3 Zn 2.70
Sn 0.3333 0.6667 0.8759  3 Zn 2.70
Sn 0.3333 0.6667 0.6241  3 Zn 2.70
Sn 0.6667 0.3333 0.1241  3 Zn 2.70

Summary:
The value obtained for the total energy is -2.88 eV/atom.